(1)
10
Lattice="6.547 0.000 0.000 0.000 6.547 0.000 0.000 0.000 4.862" Properties=species:S:1:pos:R:3 comment="Zn2CoSb2 | the Alexandria database | GGA-PBE | optimized geometry" final_energy_ev_per_atom=-3.296 pbc="T T T"
Zn 1.032 2.242 0.000
Zn 2.242 5.515 0.000
Zn 4.305 1.032 0.000
Zn 5.515 4.305 0.000
Co 0.000 0.000 2.431
Co 3.273 3.273 2.431
Sb 1.049 4.323 2.431
Sb 2.224 1.049 2.431
Sb 4.323 5.498 2.431
Sb 5.498 2.224 2.431

=====

(2)
7
Lattice="6.204 0.000 0.000 -3.102 5.373 0.000 0.000 0.000 4.779" Properties=species:S:1:pos:R:3 comment="Zn4In3 | the Alexandria database | GGA-PBE | optimized geometry" de_polymorph_ev_per_atom=0.123 pbc="T T T"
Zn 0.000 0.000 1.180
Zn 0.000 0.000 3.598
Zn 0.000 3.582 0.000
Zn 3.102 1.791 0.000
In -1.551 2.686 2.389
In 3.102 0.000 2.389
In 1.551 2.686 2.389

=====

(3)
8
Lattice="6.217 0.000 0.000 0.000 6.217 0.000 0.000 0.000 6.217" Properties=species:S:1:pos:R:3 comment="SrSb3 | the Alexandria database | GGA-PBE | optimized geometry" final_energy_ev_per_atom=-3.763 pbc="T T T"
Sr 0.000 0.000 0.000
Sr 3.109 3.109 3.109
Sb 0.000 1.554 3.109
Sb 0.000 4.663 3.109
Sb 1.554 3.109 0.000
Sb 3.109 0.000 1.554
Sb 3.109 0.000 4.663
Sb 4.663 3.109 0.000

=====

(4)
30
Lattice="2.272 -11.408 0.000 2.272 11.408 0.000 0.000 0.000 16.676" Properties=species:S:1:pos:R:3 comment="Sr4Tl5Au6 | the Alexandria database | GGA-PBE | optimized geometry" final_energy_ev_per_atom=-2.999 pbc="T T T"
Sr 2.272 11.154 8.338
Sr 2.272 10.390 12.737
Sr 2.272 7.965 4.864
Sr 2.272 7.227 15.656
Sr 2.272 -7.227 7.318
Sr 2.272 -7.965 13.202
Sr 2.272 -10.390 4.399
Sr 2.272 -11.154 0.000
Tl 2.272 7.708 10.367
Tl 2.272 4.380 10.074
Tl 2.272 3.900 4.578
Tl 2.272 3.211 16.028
Tl 2.272 1.066 11.105
Tl 2.272 -1.066 2.768
Tl 2.272 -3.211 7.690
Tl 2.272 -3.900 12.916
Tl 2.272 -4.380 1.737
Tl 2.272 -7.708 2.029
Au 2.272 8.903 1.753
Au 2.272 6.353 7.750
Au 2.272 5.673 12.706
Au 2.272 1.766 1.991
Au 2.272 1.728 6.733
Au 2.272 0.973 14.134
Au 2.272 -0.973 5.796
Au 2.272 -1.728 15.070
Au 2.272 -1.766 10.328
Au 2.272 -5.673 4.368
Au 2.272 -6.353 16.088
Au 2.272 -8.903 10.091

=====

(5)
5
Lattice="4.544 0.000 0.000 0.000 4.544 0.000 0.000 0.000 4.544" Properties=species:S:1:pos:R:3 comment="YIF3 | the Alexandria database | GGA-PBE | optimized geometry" de_polymorph_ev_per_atom=0.000 pbc="T T T"
Y 0.000 0.000 0.000
I 2.272 2.272 2.272
F 0.000 0.000 2.272
F 0.000 2.272 0.000
F 2.272 0.000 0.000

=====

(6)
10
Lattice="6.419 0.000 0.000 0.000 6.419 0.000 0.000 0.000 4.185" Properties=species:S:1:pos:R:3 comment="Tl2Co2Ir | the Alexandria database | GGA-PBE | optimized geometry" de_polymorph_ev_per_atom=0.000 pbc="T T T"
Tl 1.159 2.050 0.000
Tl 2.050 5.260 0.000
Tl 4.369 1.159 0.000
Tl 5.260 4.369 0.000
Co 0.805 4.014 2.092
Co 2.405 0.805 2.092
Co 4.014 5.614 2.092
Co 5.614 2.405 2.092
Ir 0.000 0.000 2.092
Ir 3.209 3.209 2.092

=====

| no. | density (g/cm3) |
| --- | --- |
| 1 | 6.91 |
| 2 | 6.32 |
| 3 | 6.26 |
| 4 | 9.81 |
| 5 | 4.83 |
| 6 | 13.85 |